Entry from Alexandria: crystalline NbV2GeSb at its relaxed geometry (PBE-GGA).

The structure in extended XYZ format:
```
5
Lattice="4.688 0.000 0.000 0.000 4.953 0.000 0.000 0.000 4.688" Properties=species:S:1:pos:R:3 pbc="T T T"
Sb 2.344 2.476 2.344
Nb 0.000 0.000 0.000
Ge 0.000 2.476 0.000
V 0.000 0.000 2.344
V 2.344 0.000 0.000
```

**Formation energy from raw total energies**: 1.1077 eV/atom
**Volume**: 108.9 Å³ per cell
**Electronic total energy**: -6.3017 eV per atom